(1)
Entry from the Open Quantum Materials Database: LuCuReGe after structural relaxation (GGA-PBE).

Lattice parameters (Å, degrees): 4.5267 4.5267 4.5267 60.00 60.00 60.00
Fractional positions:
Cu 0.7500 0.7500 0.7500
Ge 0.0000 0.0000 0.0000
Lu 0.5000 0.5000 0.5000
Re 0.2500 0.2500 0.2500

Computed properties:
- M_tot: 0.00 μB per cell
- Space group: F-43m, No. 216
- Energy above the lowest structure with this stoichiometry: 0.000 eV/f.u.

(2)
Entry from the Open Quantum Materials Database: YGe2W after structural relaxation (GGA-PBE).

Lattice parameters (Å, degrees): 4.7679 4.7679 4.7679 60.00 60.00 60.00
Site moments in Bohr magnetons follow the coordinates.
Fractional positions:
Ge 0.0000 0.0000 0.0000  0.00
Ge 0.2500 0.2500 0.2500  -0.01
W 0.7500 0.7500 0.7500  0.19
Y 0.5000 0.5000 0.5000  0.04

Computed properties:
- M_tot: 0.29 μB per cell
- Space group: F-43m, No. 216
- Final energy: -26.68 eV/cell

(3)
Entry from the Open Quantum Materials Database: Y2ZnIr after structural relaxation (GGA-PBE).

Lattice parameters (Å, degrees): 4.9342 6.9751 14.8025 90.00 90.00 90.00
Fractional positions:
Ir 0.0000 0.5000 0.0000
Ir 0.5000 0.0000 0.1666
Ir 0.0000 0.5000 0.3334
Ir 0.5000 0.0000 0.5000
Ir 0.0000 0.5000 0.6666
Ir 0.5000 0.0000 0.8334
Y 0.5000 0.2499 0.0000
Y 0.5000 0.7501 0.0000
Y 0.9998 0.2499 0.1667
Y 0.9998 0.7501 0.1667
Y 0.4998 0.2500 0.3333
Y 0.4998 0.7500 0.3333
Y 0.0000 0.2501 0.5000
Y 0.0000 0.7499 0.5000
Y 0.5002 0.2500 0.6667
Y 0.5002 0.7500 0.6667
Y 0.0002 0.2499 0.8333
Y 0.0002 0.7501 0.8333
Zn 0.0000 0.0000 0.0000
Zn 0.4995 0.5000 0.1664
Zn 0.9995 0.0000 0.3336
Zn 0.5000 0.5000 0.5000
Zn 0.0005 0.0000 0.6664
Zn 0.5005 0.5000 0.8336

Computed properties:
- M_tot: 0.02 μB per cell
- ΔH_f (0 K): -0.618 eV per atom
- Space group: Immm, No. 71

(4)
Entry from the Open Quantum Materials Database: Sn3Hg2B2 after structural relaxation (GGA-PBE).

Lattice parameters (Å, degrees): 8.5638 8.5638 8.5638 32.55 32.55 32.55
Fractional positions:
B 0.5021 0.5021 0.5021
B 0.9755 0.9755 0.9755
Hg 0.2181 0.2181 0.2181
Hg 0.7597 0.7597 0.7597
Sn 0.4029 0.4029 0.4029
Sn 0.6413 0.6413 0.6413
Sn 0.8754 0.8754 0.8754

Computed properties:
- Space group: R3m, No. 160
- Final energy: -18.93 eV/cell

(5)
Entry from the Open Quantum Materials Database: HoScGa2Ir4 after structural relaxation (GGA-PBE).

Lattice parameters (Å, degrees): 4.2949 4.2949 8.8084 90.00 90.00 120.00
Fractional positions:
Ga 0.3333 0.6667 0.2605
Ga 0.3333 0.6667 0.7395
Ho 0.0000 0.0000 0.0000
Ir 0.6667 0.3333 0.1763
Ir 0.0000 0.0000 0.3495
Ir 0.0000 0.0000 0.6505
Ir 0.6667 0.3333 0.8237
Sc 0.6667 0.3333 0.5000

Computed properties:
- M_tot: 0.01 μB per cell
- Space group: P-6m2, No. 187
- Final energy: -57.19 eV/cell

(6)
Entry from the Open Quantum Materials Database: BaLi2PAu after structural relaxation (GGA-PBE).

Lattice parameters (Å, degrees): 6.4850 6.4850 6.4850 140.63 140.63 56.91
Fractional positions:
Au 0.6150 0.6150 0.0000
Ba 0.9866 0.9866 0.0000
Li 0.7623 0.2623 0.5000
Li 0.2623 0.7623 0.5000
P 0.3738 0.3738 0.0000

Computed properties:
- Space group: I4mm, No. 107
- Final energy: -18.02 eV/cell

(7)
Entry from the Open Quantum Materials Database: NaTb after structural relaxation (GGA-PBE).

Lattice parameters (Å, degrees): 4.5160 4.5160 4.5160 60.00 60.00 60.00
Site moments in Bohr magnetons follow the coordinates.
Fractional positions:
Na 0.0000 0.0000 0.0000  0.01
Tb 0.5000 0.5000 0.5000  0.12

Computed properties:
- M_tot: 0.29 μB per cell
- Space group: Fm-3m, No. 225
- Energy above the lowest structure with this stoichiometry: 0.000 eV/f.u.

(8)
Entry from the Open Quantum Materials Database: Y2HoSc3CuS2 after structural relaxation (GGA-PBE).

Lattice parameters (Å, degrees): 3.7951 7.5693 7.5693 120.17 90.00 90.00
Site moments in Bohr magnetons follow the coordinates.
Fractional positions:
Cu 0.0000 0.9990 0.9990  0.06
Ho 0.0000 0.5907 0.5907  0.21
S 0.5000 0.6668 0.3344  -0.01
S 0.5000 0.3344 0.6668  -0.01
Sc 0.5000 0.2506 0.2506  0.26
Sc 0.5000 0.9989 0.7501  0.28
Sc 0.5000 0.7501 0.9989  0.23
Y 0.0000 0.4094 0.0000  0.15
Y 0.0000 0.0000 0.4094  0.14

Computed properties:
- M_tot: 2.12 μB per cell
- Space group: Amm2, No. 38
- Final energy: -55.47 eV/cell

(9)
Entry from the Open Quantum Materials Database: AcZnPO after structural relaxation (GGA-PBE).

Lattice parameters (Å, degrees): 4.1152 4.1152 9.1259 90.00 90.00 90.00
Fractional positions:
Ac 0.0000 0.5000 0.1449
Ac 0.5000 0.0000 0.8551
O 0.0000 0.0000 0.0000
O 0.5000 0.5000 0.0000
P 0.5000 0.0000 0.3431
P 0.0000 0.5000 0.6569
Zn 0.0000 0.0000 0.5000
Zn 0.5000 0.5000 0.5000

Computed properties:
- M_tot: 0.01 μB per cell
- Space group: P4/nmm, No. 129
- Energy above the lowest structure with this stoichiometry: 0.000 eV/f.u.

(10)
Entry from the Open Quantum Materials Database: Tl2SnAu after structural relaxation (GGA-PBE).

Lattice parameters (Å, degrees): 5.2576 5.2576 5.2576 60.00 60.00 60.00
Fractional positions:
Au 0.2500 0.2500 0.2500
Sn 0.5000 0.5000 0.5000
Tl 0.0000 0.0000 0.0000
Tl 0.7500 0.7500 0.7500

Computed properties:
- Space group: F-43m, No. 216
- Final energy: -11.70 eV/cell

(11)
Entry from the Open Quantum Materials Database: Rb2Tb2SO3 after structural relaxation (GGA-PBE).

Lattice parameters (Å, degrees): 3.6215 3.6215 13.6847 90.00 90.00 120.00
Fractional positions:
O 0.6667 0.3333 0.1028
O 0.6667 0.3333 0.4092
O 0.0000 0.0000 0.5728
Rb 0.0000 0.0000 0.2624
Rb 0.6667 0.3333 0.7312
S 0.0000 0.0000 0.9015
Tb 0.3333 0.6667 0.0258
Tb 0.3333 0.6667 0.4942

Computed properties:
- M_tot: 0.01 μB per cell
- Space group: P3m1, No. 156
- Final energy: -49.41 eV/cell

(12)
Entry from the Open Quantum Materials Database: Al5Ni after structural relaxation (GGA-PBE).

Lattice parameters (Å, degrees): 5.0423 5.0423 17.7765 90.00 90.00 120.00
Fractional positions:
Al 0.5000 0.0000 0.0000
Al 0.0000 0.5000 0.0000
Al 0.5000 0.5000 0.0000
Al 0.3333 0.6667 0.1255
Al 0.6667 0.3333 0.1518
Al 0.1643 0.3286 0.2500
Al 0.1643 0.8357 0.2500
Al 0.6714 0.8357 0.2500
Al 0.6667 0.3333 0.3482
Al 0.3333 0.6667 0.3745
Al 0.5000 0.0000 0.5000
Al 0.0000 0.5000 0.5000
Al 0.5000 0.5000 0.5000
Al 0.6667 0.3333 0.6255
Al 0.3333 0.6667 0.6518
Al 0.3286 0.1643 0.7500
Al 0.8357 0.1643 0.7500
Al 0.8357 0.6714 0.7500
Al 0.3333 0.6667 0.8482
Al 0.6667 0.3333 0.8745
Ni 0.0000 0.0000 0.0696
Ni 0.0000 0.0000 0.4304
Ni 0.0000 0.0000 0.5696
Ni 0.0000 0.0000 0.9304

Computed properties:
- M_tot: 0.01 μB per cell
- Space group: P6_3/mmc, No. 194
- Final energy: -92.89 eV/cell

(13)
Entry from the Open Quantum Materials Database: Pr2GdCd3Au3 after structural relaxation (GGA-PBE).

Lattice parameters (Å, degrees): 4.0344 7.9034 7.9034 119.79 90.00 90.00
Fractional positions:
Au 0.5000 0.6651 0.3391
Au 0.5000 0.3391 0.6651
Au 0.0000 0.9976 0.9976
Cd 0.5000 0.2598 0.2598
Cd 0.5000 0.9975 0.7413
Cd 0.5000 0.7413 0.9975
Gd 0.0000 0.5947 0.5947
Pr 0.0000 0.4048 0.0001
Pr 0.0000 0.0001 0.4048

Computed properties:
- M_tot: 0.01 μB per cell
- ΔH_f (0 K): -0.655 eV per atom
- Space group: Amm2, No. 38

(14)
Entry from the Open Quantum Materials Database: Cu2Ag after structural relaxation (GGA-PBE).

Lattice parameters (Å, degrees): 7.1122 7.1122 7.9499 123.67 123.67 22.24
Fractional positions:
Ag 0.6617 0.6617 0.0060
Ag 0.5602 0.5602 0.3352
Ag 0.3327 0.3327 0.9926
Cu 0.2337 0.2337 0.3500
Cu 0.8902 0.8902 0.3511
Cu 0.7810 0.7810 0.6579
Cu 0.1054 0.1054 0.6635
Cu 0.4424 0.4424 0.6637
Cu 0.9927 0.9927 0.9799

Computed properties:
- ΔH_f (0 K): 0.092 eV per atom
- Space group: Cm, No. 8
- Energy above the lowest structure with this stoichiometry: 0.140 eV/f.u.

(15)
Entry from the Open Quantum Materials Database: GaCoIrW after structural relaxation (GGA-PBE).

Lattice parameters (Å, degrees): 4.3094 4.3094 4.3094 60.00 60.00 60.00
Site moments in Bohr magnetons follow the coordinates.
Fractional positions:
Co 0.7500 0.7500 0.7500  1.30
Ga 0.0000 0.0000 0.0000  0.01
Ir 0.2500 0.2500 0.2500  0.17
W 0.5000 0.5000 0.5000  0.20

Computed properties:
- M_tot: 1.70 μB per cell
- Space group: F-43m, No. 216
- Energy above the lowest structure with this stoichiometry: 0.000 eV/f.u.

(16)
Entry from the Open Quantum Materials Database: ScGeOs2 after structural relaxation (GGA-PBE).

Lattice parameters (Å, degrees): 4.4728 4.4728 4.4728 60.00 60.00 60.00
Fractional positions:
Ge 0.5000 0.5000 0.5000
Os 0.0000 0.0000 0.0000
Os 0.7500 0.7500 0.7500
Sc 0.2500 0.2500 0.2500

Computed properties:
- M_tot: 0.02 μB per cell
- Space group: F-43m, No. 216
- Final energy: -32.77 eV/cell

(17)
Entry from the Open Quantum Materials Database: Hf2CdNi3 after structural relaxation (GGA-PBE).

Lattice parameters (Å, degrees): 3.2996 3.2996 8.7127 90.00 90.00 90.00
Fractional positions:
Cd 0.0000 0.0000 0.1804
Hf 0.0000 0.0000 0.5180
Hf 0.5000 0.5000 0.9566
Ni 0.5000 0.5000 0.3550
Ni 0.5000 0.5000 0.6640
Ni 0.0000 0.0000 0.8259

Computed properties:
- M_tot: 0.00 μB per cell
- ΔH_f (0 K): -0.357 eV per atom
- Space group: P4mm, No. 99

(18)
Entry from the Open Quantum Materials Database: Pr3SbSe2 after structural relaxation (GGA-PBE).

Lattice parameters (Å, degrees): 4.3744 4.3744 10.6290 90.00 90.00 120.00
Fractional positions:
Pr 0.0000 0.0000 0.0000
Pr 0.3333 0.6667 0.3207
Pr 0.6667 0.3333 0.6793
Sb 0.0000 0.0000 0.5000
Se 0.6667 0.3333 0.1596
Se 0.3333 0.6667 0.8404

Computed properties:
- M_tot: 0.00 μB per cell
- Space group: P-3m1, No. 164
- Final energy: -35.20 eV/cell

(19)
Entry from the Open Quantum Materials Database: HfMgFeSn after structural relaxation (GGA-PBE).

Lattice parameters (Å, degrees): 4.5723 4.5723 4.5723 60.00 60.00 60.00
Fractional positions:
Fe 0.7500 0.7500 0.7500
Hf 0.5000 0.5000 0.5000
Mg 0.2500 0.2500 0.2500
Sn 0.0000 0.0000 0.0000

Computed properties:
- M_tot: 0.01 μB per cell
- Space group: F-43m, No. 216
- Energy above the lowest structure with this stoichiometry: 0.000 eV/f.u.

(20)
Entry from the Open Quantum Materials Database: Zr2Ir after structural relaxation (GGA-PBE).

Lattice parameters (Å, degrees): 5.5740 5.5740 4.4423 90.00 90.00 60.00
Site moments in Bohr magnetons follow the coordinates.
Fractional positions:
Ir 0.0000 0.0000 0.0000  0.01
Ir 0.3333 0.3333 0.0000  0.01
Zr 0.6667 0.6667 0.0000  0.10
Zr 0.6667 0.0427 0.5000  0.03
Zr 0.0427 0.2906 0.5000  0.03
Zr 0.2906 0.6667 0.5000  0.03

Computed properties:
- M_tot: 0.28 μB per cell
- ΔH_f (0 K): -0.314 eV per atom
- Space group: P-62m, No. 189